# 1
First-principles (PBE) data for a relaxed HfTa3Rh crystal, as listed in Alexandria.

Fermi-level density of states (states/eV/cell): 10.2
Total magnetization (μB per atom): 0.00
Electronic total energy (eV/atom): -8.5204
Energy above the lowest structure with this stoichiometry (meV/atom): 1100.8
DFT formation energy (eV/f.u.): 10.26

a b c (Å): 4.8302 4.8302 4.8302
angles (deg): 90.00 90.00 90.00
Space group Pm-3m (No. 221)
Asymmetric unit:
1 Hf 0.0000 0.0000 0.0000
2 Ta 0.0000 0.0000 0.5000
3 Rh 0.5000 0.5000 0.5000

# 2
First-principles (PBE) data for a relaxed HfTaRh5 crystal, as listed in Alexandria.

Fermi-level density of states (states/eV/cell): 6.1
Total magnetization (μB per atom): 0.00
Electronic total energy (eV/atom): -8.7608
DFT formation energy (eV/f.u.): -2.76

a b c (Å): 3.9874 3.9874 7.3203
angles (deg): 90.00 90.00 90.00
Space group P4/mmm (No. 123)
Asymmetric unit:
1 Hf 0.0000 0.0000 0.0000
2 Ta 0.5000 0.5000 0.5000
3 Rh 0.0000 0.0000 0.5000
4 Rh 0.0000 0.5000 0.2450

# 3
First-principles (PBE) data for a relaxed HfTaRh crystal, as listed in Alexandria.

Fermi-level density of states (states/eV/cell): 2.7
Total magnetization (μB per atom): 0.00
Electronic total energy (eV/atom): -10.1968
Energy above the lowest structure with this stoichiometry (meV/atom): 0.0
DFT formation energy (eV/f.u.): -1.43

a b c (Å): 3.2266 3.2266 10.2970
angles (deg): 90.00 90.00 90.00
Space group I4mm (No. 107)
Asymmetric unit:
1 Hf 0.0000 0.0000 0.0000
2 Ta 0.0000 0.0000 0.6830
3 Rh 0.0000 0.0000 0.3352

# 4
First-principles (PBE) data for a relaxed Hf3TaRh crystal, as listed in Alexandria.

Fermi-level density of states (states/eV/cell): 6.9
Total magnetization (μB per atom): 0.00
Electronic total energy (eV/atom): -9.2229
Energy above the lowest structure with this stoichiometry (meV/atom): 0.0
DFT formation energy (eV/f.u.): 2.95

a b c (Å): 4.9034 4.9034 4.9034
angles (deg): 90.00 90.00 90.00
Space group Pm-3m (No. 221)
Asymmetric unit:
1 Hf 0.0000 0.0000 0.5000
2 Ta 0.5000 0.5000 0.5000
3 Rh 0.0000 0.0000 0.0000

# 5
First-principles (PBE) data for a relaxed Hf2TaRh crystal, as listed in Alexandria.

Fermi-level density of states (states/eV/cell): 4.1
Total magnetization (μB per atom): 0.00
Electronic total energy (eV/atom): -10.1193
Energy above the lowest structure with this stoichiometry (meV/atom): 104.5
DFT formation energy (eV/f.u.): -1.37

a b c (Å): 4.8009 4.8009 3.2214
angles (deg): 90.00 90.00 90.00
Space group P4/mmm (No. 123)
Asymmetric unit:
1 Hf 0.0000 0.5000 0.0000
2 Ta 0.0000 0.0000 0.5000
3 Rh 0.5000 0.5000 0.5000

# 6
First-principles (PBE) data for a relaxed Hf6TaRh5 crystal, as listed in Alexandria.

Fermi-level density of states (states/eV/cell): 7.6
Total magnetization (μB per atom): 0.00
Electronic total energy (eV/atom): -9.7480
DFT formation energy (eV/f.u.): -8.65

a b c (Å): 4.6132 6.6451 7.3227
angles (deg): 90.00 108.42 90.00
Space group P2/m (No. 10)
Asymmetric unit:
1 Hf 0.0000 0.2476 0.0000
2 Hf 0.3330 0.2491 0.6656
3 Ta 0.5000 0.5000 0.0000
4 Rh 0.1670 0.0000 0.3341
5 Rh 0.1697 0.5000 0.3405
6 Rh 0.5000 0.0000 0.0000

# 7
First-principles (PBE) data for a relaxed Hf2TaRh2 crystal, as listed in Alexandria.

Fermi-level density of states (states/eV/cell): 9.3
Total magnetization (μB per atom): 0.00
Electronic total energy (eV/atom): -9.7800
Energy above the lowest structure with this stoichiometry (meV/atom): 0.0
DFT formation energy (eV/f.u.): -2.44

a b c (Å): 7.4824 7.4824 3.2364
angles (deg): 90.00 90.00 90.00
Space group P4/mbm (No. 127)
Asymmetric unit:
1 Hf 0.1684 0.3316 0.0000
2 Ta 0.0000 0.0000 0.5000
3 Rh 0.1321 0.6321 0.5000

# 8
First-principles (PBE) data for a relaxed Hf5TaRh4 crystal, as listed in Alexandria.

Fermi-level density of states (states/eV/cell): 6.5
Total magnetization (μB per atom): 0.00
Electronic total energy (eV/atom): -9.8091
DFT formation energy (eV/f.u.): -7.07

a b c (Å): 3.3010 3.3010 16.4635
angles (deg): 90.00 90.00 90.00
Space group P4/mmm (No. 123)
Asymmetric unit:
1 Hf 0.0000 0.0000 0.0000
2 Hf 0.0000 0.0000 0.1947
3 Hf 0.0000 0.0000 0.3906
4 Ta 0.5000 0.5000 0.5000
5 Rh 0.5000 0.5000 0.0969
6 Rh 0.5000 0.5000 0.2875

Q: Which value of Fermi-level density of states does entry 3 give?
A: 2.7 states/eV/cell